The following is a DFT calculation (GGA+U) of an optimized crystal structure of Rb2TeWO6.

E_tot ... -58.10 eV per cell
SG ... Fm-3m

```
Rb2TeWO6
1.0
0.000 4.185 4.185
4.185 0.000 4.185
4.185 4.185 0.000
Rb Te W O
2 1 1 6
direct
0.250 0.250 0.250
0.750 0.750 0.750
0.000 0.000 0.000
0.500 0.500 0.500
0.265 0.265 0.735
0.265 0.735 0.265
0.265 0.735 0.735
0.735 0.265 0.265
0.735 0.265 0.735
0.735 0.735 0.265
```